(1)
This record from Alexandria describes a relaxed structure of CeCoB4. The functional is PBE.

Results
- VASP energy (eV for the cell shown) = -85.93

Unit cell a=5.967 b=5.967 c=3.444 alpha=90.00 beta=90.00 gamma=104.00
Fractional positions:
Ce (0.200, 0.800, 0.000)
Ce (0.800, 0.200, 0.000)
Co (0.322, 0.322, 0.000)
Co (0.678, 0.678, 0.000)
B (0.125, 0.431, 0.500)
B (0.133, 0.133, 0.500)
B (0.410, 0.590, 0.500)
B (0.431, 0.125, 0.500)
B (0.569, 0.875, 0.500)
B (0.590, 0.410, 0.500)
B (0.867, 0.867, 0.500)
B (0.875, 0.569, 0.500)

---

(2)
This record from Alexandria describes a relaxed structure of CeCo6B4. The functional is PBE.

Results
- VASP energy (eV for the cell shown) = -78.74

Unit cell a=6.095 b=6.095 c=3.330 alpha=90.00 beta=90.00 gamma=120.00
Fractional positions:
Ce (0.000, 0.000, 0.000)
Co (0.201, 0.401, 0.500)
Co (0.201, 0.799, 0.500)
Co (0.533, 0.066, 0.000)
Co (0.533, 0.467, 0.000)
Co (0.599, 0.799, 0.500)
Co (0.934, 0.467, 0.000)
B (0.333, 0.667, 0.000)
B (0.441, 0.220, 0.500)
B (0.780, 0.220, 0.500)
B (0.780, 0.559, 0.500)

---

(3)
This record from Alexandria describes a relaxed structure of CeCo2B. The functional is PBE.

Results
- VASP energy (eV for the cell shown) = -111.09

Unit cell a=4.059 b=9.954 c=5.178 alpha=90.00 beta=90.00 gamma=90.00
Fractional positions:
Ce (0.000, 0.250, 0.208)
Ce (0.000, 0.750, 0.792)
Ce (0.500, 0.250, 0.792)
Ce (0.500, 0.750, 0.208)
Co (0.000, 0.070, 0.685)
Co (0.000, 0.430, 0.685)
Co (0.000, 0.570, 0.315)
Co (0.000, 0.930, 0.315)
Co (0.500, 0.070, 0.315)
Co (0.500, 0.430, 0.315)
Co (0.500, 0.570, 0.685)
Co (0.500, 0.930, 0.685)
B (0.250, 0.000, 0.000)
B (0.250, 0.500, 0.000)
B (0.750, 0.000, 0.000)
B (0.750, 0.500, 0.000)

---

(4)
This record from Alexandria describes a relaxed structure of CeCoB. The functional is PBE.

Results
- excess energy over the best structure of this formula in the dataset (meV/atom) = 236

Unit cell a=2.794 b=2.794 c=10.243 alpha=90.00 beta=90.00 gamma=90.00
Fractional positions:
Ce (0.000, 0.000, 0.000)
Ce (0.500, 0.500, 0.500)
Co (0.000, 0.000, 0.723)
Co (0.500, 0.500, 0.223)
B (0.000, 0.000, 0.291)
B (0.500, 0.500, 0.791)

---

(5)
This record from Alexandria describes a relaxed structure of CeCo7B5. The functional is PBE.

Results
- VASP energy (eV for the cell shown) = -90.95

Unit cell a=5.746 b=5.746 c=5.746 alpha=131.78 beta=90.18 gamma=109.30
Fractional positions:
Ce (0.000, 0.000, 0.000)
Co (0.187, 0.466, 0.721)
Co (0.259, 0.759, 0.500)
Co (0.335, 0.335, 0.000)
Co (0.420, 0.078, 0.342)
Co (0.673, 0.673, 0.000)
Co (0.736, 0.078, 0.658)
Co (0.745, 0.466, 0.279)
B (0.035, 0.565, 0.083)
B (0.035, 0.952, 0.470)
B (0.482, 0.565, 0.530)
B (0.482, 0.952, 0.917)
B (0.805, 0.305, 0.500)

---

(6)
This record from Alexandria describes a relaxed structure of CeCo4B2. The functional is PBE.

Results
- VASP energy (eV for the cell shown) = -95.73

Unit cell a=6.988 b=5.019 c=4.922 alpha=90.00 beta=111.17 gamma=90.00
Fractional positions:
Ce (0.000, 0.000, 0.000)
Ce (0.500, 0.500, 0.000)
Co (0.185, 0.243, 0.703)
Co (0.185, 0.757, 0.703)
Co (0.315, 0.257, 0.297)
Co (0.315, 0.743, 0.297)
Co (0.685, 0.257, 0.703)
Co (0.685, 0.743, 0.703)
Co (0.815, 0.243, 0.297)
Co (0.815, 0.757, 0.297)
B (0.078, 0.500, 0.368)
B (0.422, 0.000, 0.632)
B (0.578, 0.000, 0.368)
B (0.922, 0.500, 0.632)

---

(7)
This record from Alexandria describes a relaxed structure of CeCoB2. The functional is PBE.

Results
- VASP energy (eV for the cell shown) = -83.01

Unit cell a=3.431 b=3.431 c=14.573 alpha=90.00 beta=90.00 gamma=120.00
Fractional positions:
Ce (0.000, 0.000, 0.000)
Ce (0.333, 0.667, 0.667)
Ce (0.667, 0.333, 0.333)
Co (0.000, 0.000, 0.500)
Co (0.333, 0.667, 0.167)
Co (0.667, 0.333, 0.833)
B (0.000, 0.000, 0.190)
B (0.000, 0.000, 0.810)
B (0.333, 0.667, 0.476)
B (0.333, 0.667, 0.857)
B (0.667, 0.333, 0.143)
B (0.667, 0.333, 0.524)

---

(8)
This record from Alexandria describes a relaxed structure of CeCo5B3. The functional is PBE.

Results
- VASP energy (eV for the cell shown) = -127.85

Unit cell a=5.712 b=5.712 c=10.464 alpha=90.00 beta=90.00 gamma=145.03
Fractional positions:
Ce (0.170, 0.830, 0.750)
Ce (0.830, 0.170, 0.250)
Co (0.000, 0.000, 0.000)
Co (0.000, 0.000, 0.500)
Co (0.201, 0.799, 0.068)
Co (0.201, 0.799, 0.432)
Co (0.449, 0.551, 0.643)
Co (0.449, 0.551, 0.857)
Co (0.551, 0.449, 0.143)
Co (0.551, 0.449, 0.357)
Co (0.799, 0.201, 0.568)
Co (0.799, 0.201, 0.932)
B (0.110, 0.890, 0.250)
B (0.381, 0.619, 0.036)
B (0.381, 0.619, 0.464)
B (0.619, 0.381, 0.536)
B (0.619, 0.381, 0.964)
B (0.890, 0.110, 0.750)